A plane-wave DFT calculation with PBE was carried out for crystalline SrPr2C2N6 at its relaxed geometry.

## Properties
The energy relative to the elements, uncorrected is -0.47 eV per atom.

Lattice parameters (Å, degrees): 9.933 6.622 6.429 90.00 115.62 90.00
Space group C2/m (No. 12)
Unique sites:
Sr 0.000 0.000 0.000 (multiplicity 2)
Pr 0.172 0.500 0.312 (multiplicity 4)
C 0.184 0.500 0.770 (multiplicity 4)
N 0.090 0.500 0.870 (multiplicity 4)
N 0.238 0.329 0.716 (multiplicity 8)



A plane-wave DFT calculation with PBE was carried out for crystalline KLiMg at its relaxed geometry.

## Properties
The value obtained for the formation energy is 1.55 eV/f.u. The calculation puts the distance to the lowest polymorph of the same formula at 0.439 eV per atom.

Lattice parameters (Å, degrees): 8.199 8.199 8.199 90.00 90.00 90.00
Space group F-43m (No. 216)
Unique sites:
K 0.000 0.000 0.000 (multiplicity 4)
Li 0.250 0.250 0.250 (multiplicity 4)
Mg 0.250 0.250 0.750 (multiplicity 4)